No. 1
Compound: Tb4HoSb2
Source: Alexandria via LeMat-Bulk
Functional: PBE
Structure: optimized geometry

a b c (Å): 5.2608 5.2608 16.5304
angles (deg): 90.00 90.00 90.00
Closest atoms and distances in Å follow each position.
Space group I4/mmm (No. 139)
One atom of each set of equivalent atoms:
Tb 0.0000 0.0000 0.1836 [4 per cell]  1 Sb 3.03, 1 Ho 3.03
Tb 0.0000 0.5000 0.0000 [4 per cell]  2 Ho 2.63
Ho 0.0000 0.0000 0.0000 [2 per cell]  4 Tb 2.63
Sb 0.0000 0.0000 0.3667 [4 per cell]  1 Tb 3.03

Values from the calculation:
magnetic moment = 0.00 μB/f.u.
total DFT energy (no corrections) = -59.771 eV for the cell shown
density of states at the Fermi level = 11.23 states/eV per cell
raw formation energy = 0.21 eV/atom

---

No. 2
Compound: Tb3HoSb3
Source: Alexandria via LeMat-Bulk
Functional: PBE
Structure: optimized geometry

a b c (Å): 8.9723 8.9723 18.4634
angles (deg): 90.00 90.00 120.00
Closest atoms and distances in Å follow each position.
Space group R-3 (No. 148, hexagonal axes)
One atom of each set of equivalent atoms:
Tb 0.0032 0.7404 0.0850 [18 per cell]  5 Sb 3.07-3.27
Ho 0.0000 0.0000 0.3335 [6 per cell]  6 Sb 3.13-3.18
Sb 0.0041 0.6146 0.9188 [18 per cell]  5 Tb 3.07-3.27, 2 Ho 3.13-3.18

Values from the calculation:
energy above the most stable polymorph in this dataset = 0.652 eV/f.u.
magnetic moment = 0.00 μB/f.u.
total DFT energy (no corrections) = -223.193 eV for the cell shown
density of states at the Fermi level = 29.52 states/eV per cell
raw formation energy = -0.91 eV/atom

---

No. 3
Compound: TbHo5Sb5
Source: Alexandria via LeMat-Bulk
Functional: PBE
Structure: optimized geometry

a b c (Å): 13.6326 6.1292 8.6491
angles (deg): 90.00 108.39 90.00
Closest atoms and distances in Å follow each position.
Space group C2/m (No. 12)
One atom of each set of equivalent atoms:
Tb 0.0000 0.0000 0.0000 [2 per cell]  6 Sb 3.06-3.10
Ho 0.0000 0.0000 0.5000 [2 per cell]  4 Sb 3.04-3.06
Ho 0.1651 0.5000 0.3344 [4 per cell]  5 Sb 3.03-3.06
Ho 0.1654 0.5000 0.8315 [4 per cell]  5 Sb 3.05-3.07
Sb 0.0000 0.5000 0.0000 [2 per cell]  4 Ho 3.05, 2 Tb 3.06
Sb 0.1673 0.0000 0.3368 [4 per cell]  5 Ho 3.03-3.07, 1 Tb 3.08
Sb 0.1692 0.0000 0.8310 [4 per cell]  5 Ho 3.03-3.07, 1 Tb 3.10

Values from the calculation:
magnetic moment = 0.00 μB/f.u.
total DFT energy (no corrections) = -116.573 eV for the cell shown
density of states at the Fermi level = 7.13 states/eV per cell
raw formation energy = -0.92 eV/atom

---

No. 4
Compound: TbHoSb
Source: Alexandria via LeMat-Bulk
Functional: PBE
Structure: optimized geometry

a b c (Å): 16.2812 4.2639 10.5957
angles (deg): 90.00 91.15 90.00
Closest atoms and distances in Å follow each position.
Space group C2/m (No. 12)
One atom of each set of equivalent atoms:
Tb 0.0333 0.0000 0.3568 [4 per cell]  6 Sb 3.05-3.39, 1 Tb 3.24
Tb 0.0988 0.5000 0.8538 [4 per cell]  3 Sb 3.02-3.36
Ho 0.1934 0.0000 0.0771 [4 per cell]  2 Sb 2.94, 2 Ho 3.28
Ho 0.2406 0.0000 0.6629 [4 per cell]  4 Sb 3.16-3.30
Sb 0.0862 0.5000 0.1696 [4 per cell]  2 Ho 2.94, 3 Tb 3.02-3.05
Sb 0.1159 0.5000 0.5516 [4 per cell]  3 Ho 3.16-3.29, 5 Tb 3.22-3.39

Values from the calculation:
magnetic moment = 0.24 μB/f.u.
total DFT energy (no corrections) = -120.911 eV for the cell shown
density of states at the Fermi level = 29.27 states/eV per cell
raw formation energy = -0.59 eV/atom

---

No. 5
Compound: TbHoSb
Source: Alexandria via LeMat-Bulk
Functional: PBE
Structure: optimized geometry

a b c (Å): 3.5110 18.2770 5.9873
angles (deg): 90.00 90.00 90.00
Closest atoms and distances in Å follow each position.
Space group Cmcm (No. 63)
One atom of each set of equivalent atoms:
Tb 0.0000 0.1044 0.2500 [4 per cell]  3 Sb 3.08
Ho 0.0000 0.2948 0.2500 [4 per cell]  2 Sb 3.12, 1 Tb 3.48
Sb 0.0000 0.0642 0.7500 [4 per cell]  3 Tb 3.08, 2 Ho 3.12

Values from the calculation:
magnetic moment = 0.00 μB/f.u.
total DFT energy (no corrections) = -56.879 eV for the cell shown
density of states at the Fermi level = 12.70 states/eV per cell
raw formation energy = -0.30 eV/atom

---

No. 6
Compound: Tb4Ho3Sb4
Source: Alexandria via LeMat-Bulk
Functional: PBE
Structure: optimized geometry

a b c (Å): 4.0158 9.1138 17.3817
angles (deg): 90.00 90.00 90.00
Closest atoms and distances in Å follow each position.
Space group Immm (No. 71)
One atom of each set of equivalent atoms:
Tb 0.0000 0.1808 0.1684 [8 per cell]  4 Sb 3.10-3.12, 1 Tb 3.30
Ho 0.0000 0.0000 0.4016 [4 per cell]  6 Sb 3.07-3.25, 1 Ho 3.42
Ho 0.0000 0.5000 0.5000 [2 per cell]  4 Sb 3.34
Sb 0.0000 0.2922 0.0000 [4 per cell]  2 Tb 3.10, 6 Ho 3.25-3.34
Sb 0.0000 0.5000 0.2322 [4 per cell]  2 Ho 3.07, 6 Tb 3.11-3.12

Values from the calculation:
magnetic moment = 0.00 μB/f.u.
total DFT energy (no corrections) = -114.066 eV for the cell shown
density of states at the Fermi level = 22.05 states/eV per cell
raw formation energy = -0.75 eV/atom